# 1
The following is a DFT calculation (GGA-PBE) of crystalline Dy6CoTe2 at its relaxed geometry.

Geometry as extended XYZ:
```
9
Lattice="8.3753 0.0000 0.0000 -4.1877 7.2532 0.0000 0.0000 0.0000 3.9020" Properties=species:S:1:pos:R:3 pbc="T T T"
Dy -0.9856 1.7071 0.0000
Dy -2.5044 4.3377 1.9510
Dy 1.9712 0.0000 0.0000
Dy 1.6833 2.9156 1.9510
Dy 5.0087 0.0000 1.9510
Dy 3.2021 5.5462 0.0000
Co 0.0000 0.0000 1.9510
Te 0.0000 4.8355 0.0000
Te 4.1877 2.4177 0.0000
```

Calculated values
The value obtained for the magnetic moment is 0.01 μB/f.u. The calculation puts the calculated total energy at -5.223 eV/atom.

=====

# 2
The following is a DFT calculation (GGA-PBE) of crystalline Dy4CoTe2 at its relaxed geometry.

Geometry as extended XYZ:
```
14
Lattice="7.9079 0.0000 0.0000 0.0000 12.1676 0.0000 0.0000 0.0000 4.1344" Properties=species:S:1:pos:R:3 pbc="T T T"
Dy 1.0679 2.3546 0.0000
Dy 1.5503 11.4763 2.0672
Dy 2.4036 5.3925 2.0672
Dy 2.8860 8.4384 0.0000
Dy 5.0219 3.7292 0.0000
Dy 5.5043 6.7751 2.0672
Dy 6.3576 0.6913 2.0672
Dy 6.8400 9.8130 0.0000
Co 0.0000 0.0000 0.0000
Co 3.9540 6.0838 0.0000
Te 0.5482 8.0887 2.0672
Te 3.4057 2.0049 2.0672
Te 4.5022 10.1627 2.0672
Te 7.3597 4.0789 2.0672
```

Calculated values
The value obtained for the magnetic moment is 0.01 μB/f.u. The calculation puts the calculated total energy at -5.377 eV/atom.

=====

# 3
The following is a DFT calculation (GGA-PBE) of crystalline Dy3Tm4Co2Te2 at its relaxed geometry.

Geometry as extended XYZ:
```
11
Lattice="-1.9022 7.7802 4.7211 1.9022 -7.7802 4.7211 1.9022 7.7802 -4.7211" Properties=species:S:1:pos:R:3 pbc="T T T"
Dy 0.0000 0.0000 0.0000
Dy 1.9022 5.6913 0.7584
Dy 0.0000 2.0889 5.4795
Tm 1.9022 2.8921 -1.1655
Tm 1.9022 -2.3303 2.1488
Tm 1.9022 2.3303 2.1488
Tm 0.0000 4.8881 3.5556
Co 0.0000 3.6792 0.6633
Co 0.0000 11.8811 0.6633
Te 0.0000 0.0000 3.1476
Te 0.0000 7.7802 2.2206
```

Calculated values
The value obtained for the magnetic moment is 0.05 μB/f.u. The calculation puts the calculated total energy at -5.362 eV/atom.

=====

# 4
The following is a DFT calculation (GGA-PBE) of crystalline Dy3Tm3CoTe2 at its relaxed geometry.

Geometry as extended XYZ:
```
9
Lattice="8.3417 0.0000 0.0000 -4.1708 7.2241 0.0000 0.0000 0.0000 3.8761" Properties=species:S:1:pos:R:3 pbc="T T T"
Dy -0.9923 1.7187 0.0000
Dy 1.9846 0.0000 0.0000
Dy 3.1786 5.5054 0.0000
Tm -2.5109 4.3490 1.9380
Tm 1.6599 2.8751 1.9380
Tm 5.0218 0.0000 1.9380
Co 0.0000 0.0000 1.9380
Te 0.0000 4.8161 0.0000
Te 4.1708 2.4080 0.0000
```

Calculated values
The value obtained for the magnetic moment is 0.16 μB/f.u. The energy above the lowest structure with this stoichiometry is 49 meV/atom. The calculation puts the calculated total energy at -5.147 eV/atom.

=====

# 5
The following is a DFT calculation (GGA-PBE) of crystalline Dy3Tm3CoTe2 at its relaxed geometry.

Geometry as extended XYZ:
```
9
Lattice="8.2852 0.0000 0.0000 -4.1426 7.1752 0.0000 0.0000 0.0000 3.9207" Properties=species:S:1:pos:R:3 pbc="T T T"
Dy -2.4920 4.3163 0.0000
Dy 1.6506 2.8589 0.0000
Dy 4.9840 0.0000 0.0000
Tm -0.9654 1.6722 1.9604
Tm 1.9308 0.0000 1.9604
Tm 3.1772 5.5030 1.9604
Co 0.0000 0.0000 0.0000
Te 0.0000 4.7834 1.9604
Te 4.1426 2.3917 1.9604
```

Calculated values
The value obtained for the magnetic moment is 0.00 μB/f.u. The energy above the lowest structure with this stoichiometry is 0 meV/atom. The calculation puts the calculated total energy at -5.196 eV/atom.

=====

# 6
The following is a DFT calculation (GGA-PBE) of crystalline DyTm6Co2Te2 at its relaxed geometry.

Geometry as extended XYZ:
```
11
Lattice="-1.8999 7.7466 4.6887 1.8999 -7.7466 4.6887 1.8999 7.7466 -4.6887" Properties=species:S:1:pos:R:3 pbc="T T T"
Dy 0.0000 0.0000 0.0000
Tm 1.8999 2.8772 -1.1641
Tm 1.8999 -2.3195 2.1508
Tm 1.8999 2.3195 2.1508
Tm 1.8999 5.6589 0.7606
Tm 0.0000 4.8694 3.5246
Tm 0.0000 2.0876 5.4492
Co 0.0000 3.6877 0.6586
Co 0.0000 11.8055 0.6586
Te 0.0000 0.0000 3.1558
Te 0.0000 7.7466 2.1788
```

Calculated values
The value obtained for the magnetic moment is 0.02 μB/f.u. The calculation puts the calculated total energy at -5.342 eV/atom.

=====

# 7
The following is a DFT calculation (GGA-PBE) of crystalline Dy3Y2Tm2Co2Te2 at its relaxed geometry.

Geometry as extended XYZ:
```
11
Lattice="-1.9162 7.8019 4.7293 1.9162 -7.8019 4.7293 1.9162 7.8019 -4.7293" Properties=species:S:1:pos:R:3 pbc="T T T"
Dy 0.0000 0.0000 0.0000
Dy 1.9162 5.7132 -0.7863
Dy 0.0000 2.0887 3.9430
Y 0.0000 5.4835 2.5415
Y 0.0000 10.1204 2.5415
Tm 1.9162 2.8933 1.1448
Tm 0.0000 4.9086 5.8741
Co 1.9162 -4.0884 4.0796
Co 1.9162 4.0884 4.0796
Te 1.9162 0.0000 2.4906
Te 0.0000 0.0000 6.2777
```

Calculated values
The value obtained for the magnetic moment is 0.04 μB/f.u. The calculation puts the calculated total energy at -5.723 eV/atom.

=====

# 8
The following is a DFT calculation (GGA-PBE) of crystalline DyY2Tm4Co2Te2 at its relaxed geometry.

Geometry as extended XYZ:
```
11
Lattice="-1.9211 7.7861 4.6891 1.9211 -7.7861 4.6891 1.9211 7.7861 -4.6891" Properties=species:S:1:pos:R:3 pbc="T T T"
Dy 0.0000 0.0000 0.0000
Y 0.0000 5.4562 2.4960
Y 0.0000 10.1161 2.4960
Tm 1.9211 5.6791 -0.7835
Tm 1.9211 2.8827 1.1613
Tm 0.0000 2.1071 3.9057
Tm 0.0000 4.9034 5.8504
Co 1.9211 -4.0513 4.0617
Co 1.9211 4.0513 4.0617
Te 1.9211 0.0000 2.5088
Te 0.0000 0.0000 6.1944
```

Calculated values
The value obtained for the magnetic moment is 0.02 μB/f.u. The calculation puts the calculated total energy at -5.703 eV/atom.

=====

# 9
The following is a DFT calculation (GGA-PBE) of crystalline Dy3Y2TmCoTe2 at its relaxed geometry.

Geometry as extended XYZ:
```
9
Lattice="3.9178 0.0000 0.0000 0.0000 7.3047 4.1350 0.0000 -7.3047 4.1350" Properties=species:S:1:pos:R:3 pbc="T T T"
Dy 0.0000 0.0000 0.0000
Dy 0.0000 -1.7264 5.3422
Dy 0.0000 1.7264 5.3422
Y 1.9589 -4.3792 3.8181
Y 1.9589 4.3792 3.8181
Tm 1.9589 0.0000 3.0646
Co 1.9589 0.0000 6.1774
Te 0.0000 -2.4269 2.1728
Te 0.0000 2.4269 2.1728
```

Calculated values
The value obtained for the magnetic moment is 0.04 μB/f.u. The calculation puts the calculated total energy at -5.621 eV/atom.

=====

# 10
The following is a DFT calculation (GGA-PBE) of crystalline Dy4Y3Co2Te2 at its relaxed geometry.

Geometry as extended XYZ:
```
11
Lattice="-1.9249 7.8456 4.7449 1.9249 -7.8456 4.7449 1.9249 7.8456 -4.7449" Properties=species:S:1:pos:R:3 pbc="T T T"
Dy 0.0000 2.1012 0.0000
Dy 0.0000 4.9329 1.9442
Dy 0.0000 13.5900 0.0000
Dy 0.0000 10.7583 1.9442
Y 1.9249 -2.3266 3.3259
Y 1.9249 2.3266 3.3259
Y 0.0000 0.0000 5.5318
Co 1.9249 4.0982 0.1350
Co 0.0000 3.7474 4.8799
Te 0.0000 0.0000 2.3398
Te 0.0000 7.8456 3.3008
```

Calculated values
The value obtained for the magnetic moment is 0.08 μB/f.u. The calculation puts the calculated total energy at -5.909 eV/atom.

=====

# 11
The following is a DFT calculation (GGA-PBE) of crystalline Dy6YCo2Te2 at its relaxed geometry.

Geometry as extended XYZ:
```
11
Lattice="-1.9168 7.8589 4.7403 1.9168 -7.8589 4.7403 1.9168 7.8589 -4.7403" Properties=species:S:1:pos:R:3 pbc="T T T"
Dy 0.0000 2.0985 0.0000
Dy 1.9168 -2.3358 3.3383
Dy 1.9168 2.3358 3.3383
Dy 0.0000 4.9395 1.9284
Dy 0.0000 13.6194 0.0000
Dy 0.0000 10.7783 1.9284
Y 0.0000 0.0000 5.5203
Co 1.9168 4.1214 0.1023
Co 0.0000 3.7375 4.8426
Te 0.0000 0.0000 2.3360
Te 0.0000 7.8589 3.2867
```

Calculated values
The value obtained for the magnetic moment is 0.07 μB/f.u. The calculation puts the calculated total energy at -5.569 eV/atom.